# 1
Density functional theory data (GGA-PBE) for a relaxed PmNd8Ho4 crystal.

a b c (Å): 7.3552 7.3553 10.4130
angles (deg): 90.00 110.68 120.00
Last column: nearest neighbours and their distance in Å.
Fractional positions:
Pm1 0.0000 0.5000 0.5000  6 Nd 3.04
Nd1 0.5698 0.7849 0.3546  9 Nd 3.73-3.84, 3 Ho 3.98
Nd2 0.4302 0.2151 0.6454  9 Nd 3.73-3.84, 3 Ho 3.98
Nd3 0.4971 0.2486 0.2950  1 Pm 3.04, 2 Nd 3.32, 1 Ho 3.40
Nd4 0.9536 0.2022 0.7051  1 Pm 3.04, 2 Nd 3.32, 1 Ho 3.40
Nd5 0.5029 0.7514 0.7050  1 Pm 3.04, 2 Nd 3.32, 1 Ho 3.40
Nd6 0.9536 0.7514 0.7051  1 Pm 3.04, 2 Nd 3.32, 1 Ho 3.40
Nd7 0.0464 0.2486 0.2949  1 Pm 3.04, 2 Nd 3.32, 1 Ho 3.40
Nd8 0.0464 0.7978 0.2949  1 Pm 3.04, 2 Nd 3.32, 1 Ho 3.40
Ho1 0.0000 0.0000 0.0000  6 Nd 3.40, 6 Ho 3.68
Ho2 0.0000 0.5000 0.0000  6 Nd 3.59-3.98, 6 Ho 3.68
Ho3 0.5000 0.5000 0.0000  6 Nd 3.59-3.98, 6 Ho 3.68
Ho4 0.5000 0.0000 0.0000  6 Nd 3.59-3.98, 6 Ho 3.68

Calculated values
- Space group: No. 166
- Magnetic moment: 0.000 Bohr magnetons per cell
- Final energy: -4.53 eV per atom



# 2
Density functional theory data (GGA-PBE) for a relaxed Rb2MgAuF6 crystal.

a b c (Å): 6.2647 6.2647 6.0889
angles (deg): 59.04 59.04 90.00
Last column: nearest neighbours and their distance in Å.
Fractional positions:
Mg1 0.5000 0.5000 0.0000  6 F 2.00-2.08
Au1 0.0000 0.0000 0.0000  2 F 2.10
Rb1 0.7500 0.2500 0.5000  12 F 3.05-3.13
Rb2 0.2500 0.7500 0.5000  12 F 3.05-3.13
F1 0.2515 0.2515 0.4970  1 Mg 2.08, 1 Au 2.10
F2 0.7485 0.7485 0.5030  1 Mg 2.08, 1 Au 2.10
F3 0.2744 0.2744 0.0000  1 Mg 2.00
F4 0.7256 0.7256 0.0000  1 Mg 2.00
F5 0.7256 0.2744 0.0000  1 Mg 2.00
F6 0.2744 0.7256 0.0000  1 Mg 2.00

Calculated values
- Space group: No. 139
- E_form (uncorrected): -2.410 eV per atom
- Magnetic moment: 1.000 Bohr magnetons per cell
- Final energy: -4.21 eV per atom